# 1
DFT (GGA-PBE) results for an optimized crystal structure of La2PuGa3Rh4.

Unit cell a=4.3779 b=4.3779 c=10.6411 alpha=90.00 beta=90.00 gamma=90.00
Closest atoms and distances in Å follow each position.
Sites, in units of the cell vectors:
La  0.0000  0.5000  0.7734  8 Rh 3.26-3.37, 7 Ga 3.31-3.64, 2 Pu 3.64
Rh  0.5000  0.0000  0.6472  3 Ga 2.52-2.69, 2 Pu 2.69
Ga  0.5000  0.0000  0.8844  5 Rh 2.51-2.52
La  0.5000  0.0000  0.2266  8 Rh 3.26-3.37, 7 Ga 3.31-3.64, 2 Pu 3.64
Pu  0.5000  0.5000  0.5000  4 Rh 2.69
Rh  0.0000  0.5000  0.3528  3 Ga 2.52-2.69, 2 Pu 2.69
Rh  0.0000  0.0000  0.0000  4 Ga 2.51
Ga  0.0000  0.0000  0.5000  4 Rh 2.69
Rh  0.5000  0.5000  0.0000  4 Ga 2.51
Ga  0.0000  0.5000  0.1156  5 Rh 2.51-2.52

Properties
**ΔH_f (0 K)**: -0.7574 eV/atom
**Symmetry**: P-4m2 (115)

# 2
DFT (GGA-PBE) results for an optimized crystal structure of TlFeH3.

Unit cell a=3.6387 b=3.6387 c=3.6387 alpha=90.00 beta=90.00 gamma=90.00
Closest atoms and distances in Å follow each position.
Sites, in units of the cell vectors:
H  0.0000  0.0000  0.5000  2 Fe 1.82
H  0.5000  0.0000  0.0000  2 Fe 1.82
H  0.0000  0.5000  0.0000  2 Fe 1.82
Fe  0.0000  0.0000  0.0000  6 H 1.82
Tl  0.5000  0.5000  0.5000  12 H 2.57

Properties
**Symmetry**: Pm-3m (221)
**Polymorph energy (0 for the lowest one)**: 0.0000 eV/atom

# 3
DFT (GGA-PBE) results for an optimized crystal structure of CdPCl2.

Unit cell a=3.2168 b=3.2168 c=10.0641 alpha=90.00 beta=90.00 gamma=90.00
Closest atoms and distances in Å follow each position.
Sites, in units of the cell vectors:
Cl  0.0000  0.0000  0.9114  4 Cd 2.79
P  0.5000  0.5000  0.2500  4 P 3.22
Cl  0.0000  0.0000  0.5886  4 Cd 2.79
Cd  0.5000  0.5000  0.7500  8 Cl 2.79

Properties
**Symmetry**: P4/mmm (123)
**Formation energy from raw total energies**: 0.541 eV per formula unit
**Polymorph energy (0 for the lowest one)**: 0.5301 eV/atom

# 4
DFT (GGA-PBE) results for an optimized crystal structure of PrZnNiPt3.

Unit cell a=5.6521 b=6.5006 c=6.8304 alpha=118.41 beta=90.00 gamma=90.00
Closest atoms and distances in Å follow each position.
Sites, in units of the cell vectors:
Pr  0.7500  0.2883  0.5765  1 Ni 2.65, 2 Zn 2.94
Pt  0.5000  0.2907  0.0000  2 Ni 2.50, 2 Zn 2.61, 1 Pt 2.72
Zn  0.2500  0.3569  0.7138  5 Pt 2.48-2.61
Zn  0.7500  0.6431  0.2862  5 Pt 2.48-2.61
Pt  0.5000  0.7093  0.0000  2 Ni 2.50, 2 Zn 2.61, 1 Pt 2.72
Pt  0.2500  0.1507  0.3014  1 Zn 2.48, 1 Ni 2.62
Ni  0.7500  0.0675  0.1351  5 Pt 2.50-2.62, 1 Pr 2.65
Pt  0.0000  0.2907  0.0000  2 Ni 2.50, 2 Zn 2.61, 1 Pt 2.72
Pt  0.7500  0.8493  0.6986  1 Zn 2.48, 1 Ni 2.62
Pt  0.0000  0.7093  0.0000  2 Ni 2.50, 2 Zn 2.61, 1 Pt 2.72
Ni  0.2500  0.9325  0.8649  5 Pt 2.50-2.62, 1 Pr 2.65
Pr  0.2500  0.7117  0.4235  1 Ni 2.65, 2 Zn 2.94

Properties
**ΔH_f (0 K)**: -0.4554 eV/atom
**Symmetry**: Cmcm (63)

The evaluated density of states at the Fermi level for the records listed, in turn: 11.082; 3.265; 0.960; 8.638 states/eV per cell.